Entry from Alexandria via LeMat-Bulk: crystalline SrRh2W at its relaxed geometry (GGA-PBE).

a = 4.6865 Å, b = 4.6865 Å, c = 4.6865 Å
α = 60.00°, β = 60.00°, γ = 60.00°
With the nearest neighbours (Å) after each atom.
Element x y z (fractional)
Sr  0.0000  0.0000  0.0000  8 Rh 2.87
Rh  0.2500  0.2500  0.2500  4 W 2.87, 4 Sr 2.87
Rh  0.7500  0.7500  0.7500  4 W 2.87, 4 Sr 2.87
W  0.5000  0.5000  0.5000  8 Rh 2.87

Properties
Energy   -6.85 eV/atom
Energy relative to the elements   0.480 eV/atom
Magnetization   0.0 μB/f.u.

=====

Entry from Alexandria via LeMat-Bulk: crystalline SrRhW2 at its relaxed geometry (GGA-PBE).

a = 2.8441 Å, b = 5.2338 Å, c = 5.0697 Å
α = 90.00°, β = 97.36°, γ = 90.00°
With the nearest neighbours (Å) after each atom.
Element x y z (fractional)
Sr  0.0000  0.0000  0.0000  4 Rh 2.74-3.06, 2 Sr 2.84
Rh  0.5000  0.0000  0.5000  4 Sr 2.74-3.06, 2 Rh 2.84, 4 W 2.99
W  0.2951  0.5000  0.7463  5 W 2.69-2.89, 2 Rh 2.99
W  0.7049  0.5000  0.2537  5 W 2.69-2.89, 2 Rh 2.99

Properties
Energy   -7.88 eV/atom
Energy relative to the elements   0.857 eV/atom
Magnetization   0.0 μB/f.u.

=====

Entry from Alexandria via LeMat-Bulk: crystalline SrRh2W at its relaxed geometry (GGA-PBE).

a = 5.4471 Å, b = 5.4471 Å, c = 5.4471 Å
α = 137.33°, β = 137.33°, γ = 61.93°
With the nearest neighbours (Å) after each atom.
Element x y z (fractional)
Sr  0.0000  0.0000  0.0000  8 Rh 2.80-3.06, 4 W 3.06
Rh  0.5000  0.5000  0.0000  4 Sr 2.80, 4 W 3.06, 4 Rh 3.06
Rh  0.7500  0.2500  0.5000  4 W 2.80, 4 Rh 3.06, 4 Sr 3.06
W  0.2500  0.7500  0.5000  8 Rh 2.80-3.06, 4 Sr 3.06

Properties
Energy   -6.67 eV/atom
Energy relative to the elements   0.667 eV/atom
Magnetization   0.0 μB/f.u.

=====

Entry from Alexandria via LeMat-Bulk: crystalline Sr2Rh2W at its relaxed geometry (GGA-PBE).

a = 10.4594 Å, b = 10.4594 Å, c = 10.4594 Å
α = 160.74°, β = 160.74°, γ = 27.36°
With the nearest neighbours (Å) after each atom.
Element x y z (fractional)
Sr  0.1159  0.1159  0.0000  4 Rh 3.24, 4 W 3.42, 4 Sr 3.50
Sr  0.8841  0.8841  0.0000  4 Rh 3.24, 4 W 3.42, 4 Sr 3.50
Rh  0.2500  0.7500  0.5000  4 Rh 2.47
Rh  0.7500  0.2500  0.5000  4 Rh 2.47
W  0.5000  0.5000  0.0000  8 Sr 3.42, 4 W 3.50

Properties
Energy   -5.32 eV/atom
Energy relative to the elements   0.882 eV/atom
Magnetization   0.0 μB/f.u.

=====

Entry from Alexandria via LeMat-Bulk: crystalline SrRhW2 at its relaxed geometry (GGA-PBE).

a = 5.7472 Å, b = 5.7472 Å, c = 5.7472 Å
α = 148.93°, β = 124.48°, γ = 65.00°
With the nearest neighbours (Å) after each atom.
Element x y z (fractional)
Sr  0.0000  0.0000  0.0000  2 Sr 3.08, 8 W 3.09-3.34, 4 Rh 3.10-3.44
Rh  0.7226  0.2226  0.5000  2 W 2.66
W  0.2937  0.7937  0.5000  2 W 2.52
W  0.4994  0.4994  0.0000  2 W 2.52, 2 Rh 2.66

Properties
Energy   -7.92 eV/atom
Energy relative to the elements   0.817 eV/atom
Magnetization   0.0 μB/f.u.

=====

Entry from Alexandria via LeMat-Bulk: crystalline Sr2Rh2W at its relaxed geometry (GGA-PBE).

a = 6.6842 Å, b = 6.6842 Å, c = 5.1135 Å
α = 90.00°, β = 90.00°, γ = 90.00°
With the nearest neighbours (Å) after each atom.
Element x y z (fractional)
Sr  0.1790  0.3210  0.0000  6 Rh 3.07-3.35, 1 Sr 3.38
Sr  0.3210  0.8210  0.0000  6 Rh 3.07-3.35, 1 Sr 3.38
Sr  0.6790  0.1790  0.0000  6 Rh 3.07-3.35, 1 Sr 3.38
Sr  0.8210  0.6790  0.0000  6 Rh 3.07-3.35, 1 Sr 3.38
Rh  0.1420  0.6420  0.5000  2 W 2.57, 1 Rh 2.68
Rh  0.3580  0.1420  0.5000  2 W 2.57, 1 Rh 2.68
Rh  0.6420  0.8580  0.5000  2 W 2.57, 1 Rh 2.68
Rh  0.8580  0.3580  0.5000  2 W 2.57, 1 Rh 2.68
W  0.0000  0.0000  0.5000  4 Rh 2.57
W  0.5000  0.5000  0.5000  4 Rh 2.57

Properties
Energy   -6.06 eV/atom
Energy relative to the elements   0.148 eV/atom
Magnetization   0.0 μB/f.u.

=====

Entry from Alexandria via LeMat-Bulk: crystalline SrRhW4 at its relaxed geometry (GGA-PBE).

a = 5.4347 Å, b = 5.4347 Å, c = 5.4347 Å
α = 60.00°, β = 60.00°, γ = 60.00°
With the nearest neighbours (Å) after each atom.
Element x y z (fractional)
Sr  0.0000  0.0000  0.0000  12 W 3.18, 4 Rh 3.33
Rh  0.2500  0.2500  0.2500  12 W 3.19, 4 Sr 3.33
W  0.1222  0.6259  0.6259  6 W 2.70-2.74
W  0.6259  0.1222  0.6259  6 W 2.70-2.74
W  0.6259  0.6259  0.1222  6 W 2.70-2.74
W  0.6259  0.6259  0.6259  6 W 2.70-2.74

Properties
Energy   -9.40 eV/atom
Energy relative to the elements   0.746 eV/atom
Magnetization   0.0 μB/f.u.

=====

Entry from Alexandria via LeMat-Bulk: crystalline Sr3RhW at its relaxed geometry (GGA-PBE).

a = 5.6755 Å, b = 5.6755 Å, c = 5.6755 Å
α = 90.00°, β = 90.00°, γ = 90.00°
With the nearest neighbours (Å) after each atom.
Element x y z (fractional)
Sr  0.0000  0.0000  0.5000  2 Rh 2.84
Sr  0.0000  0.5000  0.0000  2 Rh 2.84
Sr  0.5000  0.0000  0.0000  2 Rh 2.84
Rh  0.0000  0.0000  0.0000  6 Sr 2.84
W  0.5000  0.5000  0.5000  12 Sr 4.01

Properties
Energy   -4.14 eV/atom
Energy relative to the elements   0.934 eV/atom
Magnetization   4.2 μB/f.u.

=====

Entry from Alexandria via LeMat-Bulk: crystalline SrRh2W at its relaxed geometry (GGA-PBE).

a = 3.0699 Å, b = 4.5636 Å, c = 5.8019 Å
α = 90.00°, β = 99.92°, γ = 90.00°
With the nearest neighbours (Å) after each atom.
Element x y z (fractional)
Sr  0.0000  0.0000  0.0000  6 Rh 2.92-3.17, 2 Sr 3.07
Rh  0.4194  0.5000  0.7836  2 W 2.48-2.52
Rh  0.4291  0.0000  0.4904  2 W 2.59, 2 Rh 2.85
W  0.7982  0.5000  0.4384  4 Rh 2.48-2.59

Properties
Energy   -7.05 eV/atom
Energy relative to the elements   0.284 eV/atom
Magnetization   0.0 μB/f.u.

=====

Entry from Alexandria via LeMat-Bulk: crystalline SrRhW2 at its relaxed geometry (GGA-PBE).

a = 9.4959 Å, b = 9.4959 Å, c = 9.4959 Å
α = 149.82°, β = 149.82°, γ = 43.21°
With the nearest neighbours (Å) after each atom.
Element x y z (fractional)
Sr  0.3750  0.6250  0.7500  4 Rh 3.50, 8 W 3.54
Sr  0.6250  0.3750  0.2500  4 Rh 3.50, 8 W 3.54
Rh  0.1250  0.8750  0.2500  4 W 2.53
Rh  0.8750  0.1250  0.7500  4 W 2.53
W  0.0000  0.0000  0.0000  2 W 2.47, 2 Rh 2.53
W  0.0000  0.0000  0.5000  2 W 2.47, 2 Rh 2.53
W  0.0000  0.5000  0.0000  2 W 2.47, 2 Rh 2.53
W  0.5000  0.0000  0.5000  2 W 2.47, 2 Rh 2.53

Properties
Energy   -7.58 eV/atom
Energy relative to the elements   1.157 eV/atom
Magnetization   0.0 μB/f.u.

=====

Entry from Alexandria via LeMat-Bulk: crystalline SrRh2W at its relaxed geometry (GGA-PBE).

a = 4.9809 Å, b = 4.9809 Å, c = 2.8921 Å
α = 90.16°, β = 90.16°, γ = 90.51°
With the nearest neighbours (Å) after each atom.
Element x y z (fractional)
Sr  0.0000  0.0000  0.0000  8 Rh 2.88, 2 Sr 2.89
Rh  0.0000  0.5000  0.5000  4 W 2.88, 4 Sr 2.88, 2 Rh 2.89
Rh  0.5000  0.0000  0.5000  4 W 2.88, 4 Sr 2.88, 2 Rh 2.89
W  0.5000  0.5000  0.0000  8 Rh 2.88, 2 W 2.89

Properties
Energy   -7.01 eV/atom
Energy relative to the elements   0.322 eV/atom
Magnetization   0.0 μB/f.u.

=====

Entry from Alexandria via LeMat-Bulk: crystalline SrYRhW2 at its relaxed geometry (GGA-PBE).

a = 4.7651 Å, b = 4.7651 Å, c = 5.1542 Å
α = 90.00°, β = 90.00°, γ = 90.00°
With the nearest neighbours (Å) after each atom.
Element x y z (fractional)
Sr  0.0000  0.0000  0.0000  4 W 2.38, 2 Y 2.58
Y  0.0000  0.0000  0.5000  2 Sr 2.58
Rh  0.5000  0.5000  0.5000  4 Y 3.37, 8 W 3.51
W  0.0000  0.5000  0.0000  2 Sr 2.38
W  0.5000  0.0000  0.0000  2 Sr 2.38

Properties
Energy   -5.34 eV/atom
Energy relative to the elements   2.939 eV/atom
Magnetization   0.0 μB/f.u.